Record 1
This record from Alexandria via LeMat-Bulk describes an optimized crystal structure of Pr4NdCo4. The functional is PBE.

Cell: 8.652 8.652 5.855 Å, 90.00 90.00 90.00°
Space group P4_2/n (No. 86, origin choice 2)
Asymmetric unit:
Pr  0.056  0.677  0.131
Nd  0.250  0.250  0.250
Co  0.013  0.611  0.606

Magnetization   0.0 μB per cell
Energy relative to the elements   62 meV/atom
VASP energy   -5.7499 eV/atom


Record 2
This record from Alexandria via LeMat-Bulk describes an optimized crystal structure of PrNd4Co4. The functional is PBE.

Cell: 8.644 8.644 5.793 Å, 90.00 90.00 90.00°
Space group P4_2/n (No. 86, origin choice 2)
Asymmetric unit:
Pr  0.250  0.250  0.250
Nd  0.059  0.676  0.132
Co  0.015  0.611  0.609

Magnetization   0.0 μB per cell
Energy relative to the elements   49 meV/atom
VASP energy   -5.7590 eV/atom


Record 3
This record from Alexandria via LeMat-Bulk describes an optimized crystal structure of PrNdCo. The functional is PBE.

Cell: 3.494 3.494 13.304 Å, 90.00 90.00 90.00°
Space group I4mm (No. 107)
Asymmetric unit:
Pr  0.000  0.000  0.000
Nd  0.000  0.000  0.749
Co  0.000  0.000  0.373

Magnetization   1.2 μB per cell
Energy relative to the elements   44 meV/atom
VASP energy   -5.5070 eV/atom


Record 4
This record from Alexandria via LeMat-Bulk describes an optimized crystal structure of Pr2NdCo. The functional is PBE.

Cell: 3.7398 3.7398 31.7008 Å, 90.00 90.00 120.00°
Space group R-3m (No. 166, hexagonal axes)
Asymmetric unit:
Pr  0.0000  0.0000  0.1133
Nd  0.0000  0.0000  0.0000
Co  0.0000  0.0000  0.5000

Magnetization   1.4 μB per cell
Energy relative to the elements   216 meV/atom
VASP energy   -5.1424 eV/atom


Record 5
This record from Alexandria via LeMat-Bulk describes an optimized crystal structure of Pr2NdCo6. The functional is PBE.

Cell: 6.7692 6.7692 4.2574 Å, 90.00 90.00 120.00°
Space group P6/mmm (No. 191)
Asymmetric unit:
Pr  0.3333  0.6667  0.0000
Nd  0.0000  0.0000  0.0000
Co  0.0000  0.3329  0.5000

Magnetization   4.7 μB per cell
Energy relative to the elements   -56 meV/atom
VASP energy   -6.3854 eV/atom


Record 6
This record from Alexandria via LeMat-Bulk describes an optimized crystal structure of PrNdCoPt. The functional is PBE.

Cell: 7.120 7.120 7.120 Å, 90.00 90.00 90.00°
Space group F-43m (No. 216)
Asymmetric unit:
Pr  0.000  0.000  0.000
Nd  0.000  0.000  0.500
Co  0.250  0.250  0.750
Pt  0.250  0.250  0.250

Magnetization   1.7 μB per cell
Energy relative to the elements   -452 meV/atom
VASP energy   -6.1253 eV/atom


Q: Which value of energy relative to the elements does entry 2 give?
A: 49 meV/atom